Entry from Alexandria: a relaxed CrFe6Co2 crystal (GGA-PBE).

Cell lengths 6.957, 6.957, 2.450 Å; angles 90.00, 90.00, 120.00 degrees
Element x y z (fractional)
Cr (0.000, 0.000, 0.000)
Fe (0.000, 0.311, 0.500)
Fe (0.000, 0.645, 0.000)
Fe (0.311, 0.000, 0.500)
Fe (0.355, 0.355, 0.000)
Fe (0.645, 0.000, 0.000)
Fe (0.689, 0.689, 0.500)
Co (0.333, 0.667, 0.500)
Co (0.667, 0.333, 0.500)

total magnetization	14.286	Bohr magnetons per cell
ΔE_f	152	meV/atom
D(E_F)	1.423	states/eV per atom
space group	P-62m (189)
crystal system	hexagonal


Entry from Alexandria: a relaxed CrFe14Co crystal (GGA-PBE).

Cell lengths 4.933, 4.933, 8.043 Å; angles 90.00, 90.00, 109.61 degrees
Element x y z (fractional)
Cr (0.000, 0.000, 0.000)
Fe (0.000, 0.000, 0.500)
Fe (0.000, 0.500, 0.000)
Fe (0.000, 0.500, 0.500)
Fe (0.250, 0.750, 0.250)
Fe (0.250, 0.750, 0.750)
Fe (0.251, 0.251, 0.248)
Fe (0.251, 0.251, 0.752)
Fe (0.500, 0.000, 0.000)
Fe (0.500, 0.000, 0.500)
Fe (0.500, 0.500, 0.500)
Fe (0.749, 0.749, 0.248)
Fe (0.749, 0.749, 0.752)
Fe (0.750, 0.250, 0.250)
Fe (0.750, 0.250, 0.750)
Co (0.500, 0.500, 0.000)

total magnetization	32.587	Bohr magnetons per cell
ΔE_f	-1	meV/atom
D(E_F)	0.641	states/eV per atom
space group	Cmmm (65)
crystal system	orthorhombic


Entry from Alexandria: a relaxed CrFeCo14 crystal (GGA-PBE).

Cell lengths 4.981, 4.981, 7.082 Å; angles 90.00, 90.00, 90.00 degrees
Element x y z (fractional)
Cr (0.000, 0.000, 0.000)
Fe (0.500, 0.500, 0.000)
Co (0.000, 0.000, 0.500)
Co (0.000, 0.500, 0.000)
Co (0.000, 0.500, 0.500)
Co (0.249, 0.249, 0.252)
Co (0.249, 0.249, 0.748)
Co (0.249, 0.751, 0.252)
Co (0.249, 0.751, 0.748)
Co (0.500, 0.000, 0.000)
Co (0.500, 0.000, 0.500)
Co (0.500, 0.500, 0.500)
Co (0.751, 0.249, 0.252)
Co (0.751, 0.249, 0.748)
Co (0.751, 0.751, 0.252)
Co (0.751, 0.751, 0.748)

total magnetization	21.799	Bohr magnetons per cell
ΔE_f	33	meV/atom
D(E_F)	1.209	states/eV per atom
space group	P4/mmm (123)
crystal system	tetragonal


Entry from Alexandria: a relaxed Cr2Fe2Co crystal (GGA-PBE).

Cell lengths 6.519, 6.519, 2.630 Å; angles 90.00, 90.00, 90.00 degrees
Element x y z (fractional)
Cr (0.169, 0.331, 0.000)
Cr (0.331, 0.831, 0.000)
Cr (0.669, 0.169, 0.000)
Cr (0.831, 0.669, 0.000)
Fe (0.133, 0.633, 0.500)
Fe (0.367, 0.133, 0.500)
Fe (0.633, 0.867, 0.500)
Fe (0.867, 0.367, 0.500)
Co (0.000, 0.000, 0.500)
Co (0.500, 0.500, 0.500)

total magnetization	0.003	Bohr magnetons per cell
ΔE_f	248	meV/atom
ΔE to the lowest computed polymorph	0	meV per atom
D(E_F)	1.340	states/eV per atom
space group	P4/mbm (127)
crystal system	tetragonal